# 1
! Li6FeS4 | Alexandria | PBE-GGA | optimized geometry; values from VASP
! ΔE_f (raw) (eV per atom): -1.044
! Magnetization (μB per formula unit): 4.00
! DOS at the Fermi energy (states/eV per atom): 0.3882
! Relative energy among the computed polymorphs (meV per atom): 55
&SYSTEM
  ibrav = 0, nat = 11, ntyp = 3
/
ATOMIC_SPECIES
Li 6.94 Li.upf
Fe 55.84 Fe.upf
S 32.06 S.upf
ATOMIC_POSITIONS angstrom
Li -0.687 -2.531 0.247
Li -0.142 -5.621 -0.602
Li 1.343 -3.249 -1.534
Li 3.441 -6.875 -3.745
Li 2.052 -1.318 0.585
Li 4.167 -2.826 -1.369
Fe -3.244 -3.267 2.281
S -0.156 -0.157 0.110
S 1.451 -3.808 0.766
S -2.121 -5.729 1.031
S 2.615 -4.837 -2.796
CELL_PARAMETERS angstrom
-0.737 -6.821 -2.722
6.199 -2.620 -3.033
-3.802 2.251 5.913

# 2
! Tl3Br | Alexandria | PBE-GGA | optimized geometry; values from VASP
! ΔE_f (raw) (eV per atom): -0.282
! Magnetization (μB per formula unit): 0.00
! DOS at the Fermi energy (states/eV per atom): 0.5172
! Relative energy among the computed polymorphs (meV per atom): 18
&SYSTEM
  ibrav = 0, nat = 8, ntyp = 2
/
ATOMIC_SPECIES
Tl 204.38 Tl.upf
Br 79.90 Br.upf
ATOMIC_POSITIONS angstrom
Tl 3.119 2.596 0.000
Tl 0.000 3.786 3.312
Tl 0.000 0.624 1.635
Tl 0.000 0.624 4.989
Tl 3.119 5.758 4.947
Tl 3.119 5.758 1.677
Br 0.000 3.832 0.000
Br 3.119 2.550 3.312
CELL_PARAMETERS angstrom
6.238 0.000 0.000
0.000 6.382 0.000
0.000 0.000 6.624

Question: Which value of DOS at the Fermi energy does entry 1 give?
Answer: 0.3882 states/eV per atom

Question: The highest ΔE_f (raw) belongs to which entry?
Answer: Tl3Br

Question: Which formula does entry 1 have?
Answer: Li6FeS4

Question: The highest ΔE_f (raw) belongs to which entry?
Answer: Tl3Br